A relaxed RbCCl3 crystal. Source: Alexandria, functional PBE-GGA.

Output
Its formation energy (no corrections) is 0.06 eV per atom. The density of states at the Fermi level comes out at 0.0 states/eV/f.u. Its energy relative to the lowest polymorph listed for this composition is 0 meV per atom. The calculation puts the total energy at -0.2268 Ry/atom.

Cell: 4.7500 4.7500 4.7500 Å, 90.00 90.00 90.00°
Closest atoms and distances in Å follow each position.
Atoms (fractional coordinates):
Rb 0.0000 0.0000 0.0000  12 Cl 3.36
C 0.5000 0.5000 0.5000  6 Cl 2.38
Cl 0.0000 0.5000 0.5000  2 C 2.38
Cl 0.5000 0.0000 0.5000  2 C 2.38
Cl 0.5000 0.5000 0.0000  2 C 2.38

---

A relaxed Rb2CCl crystal. Source: Alexandria, functional PBE-GGA.

Output
Its formation energy (no corrections) is 0.26 eV per atom. The density of states at the Fermi level comes out at 0.0 states/eV/f.u. Its energy relative to the lowest polymorph listed for this composition is 30 meV per atom. The calculation puts the total energy at -0.2199 Ry/atom.

Cell: 7.3429 7.3429 14.2153 Å, 90.00 90.00 90.00°
Closest atoms and distances in Å follow each position.
Atoms (fractional coordinates):
Rb 0.2353 0.2500 0.1250  2 C 3.08, 2 Cl 3.21
Rb 0.2500 0.7353 0.3750  2 C 3.08, 2 Cl 3.21
Rb 0.2500 0.7647 0.8750  2 C 3.08, 2 Cl 3.21
Rb 0.2647 0.2500 0.6250  2 C 3.08, 2 Cl 3.21
Rb 0.7353 0.7500 0.6250  2 C 3.08, 2 Cl 3.21
Rb 0.7500 0.2353 0.8750  2 C 3.08, 2 Cl 3.21
Rb 0.7500 0.2647 0.3750  2 C 3.08, 2 Cl 3.21
Rb 0.7647 0.7500 0.1250  2 C 3.08, 2 Cl 3.21
C 0.0000 0.0000 0.0000  4 Rb 3.08
C 0.0000 0.5000 0.2500  4 Rb 3.08
C 0.5000 0.0000 0.7500  4 Rb 3.08
C 0.5000 0.5000 0.5000  4 Rb 3.08
Cl 0.0000 0.0000 0.5000  4 Rb 3.21
Cl 0.0000 0.5000 0.7500  4 Rb 3.21
Cl 0.5000 0.0000 0.2500  4 Rb 3.21
Cl 0.5000 0.5000 0.0000  4 Rb 3.21

---

A relaxed RbSbCCl2 crystal. Source: Alexandria, functional PBE-GGA.

Output
Its formation energy (no corrections) is 1.30 eV per atom. The density of states at the Fermi level comes out at 4.2 states/eV/f.u. The calculation puts the total energy at -0.1694 Ry/atom.

Cell: 5.8899 5.8899 5.0175 Å, 90.00 90.00 90.00°
Closest atoms and distances in Å follow each position.
Atoms (fractional coordinates):
Rb 0.0000 0.0000 0.0000  2 C 2.51
Sb 0.5000 0.5000 0.5000  8 Cl 3.87, 4 C 4.16
C 0.0000 0.0000 0.5000  2 Rb 2.51
Cl 0.0000 0.5000 0.0000  2 Rb 2.94
Cl 0.5000 0.0000 0.0000  2 Rb 2.94

---

A relaxed Rb2TaCCl crystal. Source: Alexandria, functional PBE-GGA.

Output
Its formation energy (no corrections) is 1.85 eV per atom. The density of states at the Fermi level comes out at 4.8 states/eV/f.u. The calculation puts the total energy at -0.2296 Ry/atom.

Cell: 6.6994 6.6994 3.7777 Å, 90.00 90.00 90.00°
Closest atoms and distances in Å follow each position.
Atoms (fractional coordinates):
Rb 0.0000 0.5000 0.0000  2 C 3.35
Rb 0.5000 0.0000 0.0000  2 C 3.35
Ta 0.0000 0.0000 0.5000  2 Ta 3.78, 8 Rb 3.85
C 0.5000 0.5000 0.0000  2 Cl 1.89
Cl 0.5000 0.5000 0.5000  2 C 1.89

---

A relaxed Rb2TcCCl6 crystal. Source: Alexandria, functional PBE-GGA.

Output
Its formation energy (no corrections) is -0.47 eV per atom. The density of states at the Fermi level comes out at 12.6 states/eV/f.u. The calculation puts the total energy at -0.2745 Ry/atom.

Cell: 7.0898 7.0898 7.0898 Å, 114.29 114.29 100.22°
Closest atoms and distances in Å follow each position.
Atoms (fractional coordinates):
Rb 0.2500 0.7500 0.5000  12 Cl 3.56-3.85
Rb 0.7500 0.2500 0.5000  12 Cl 3.56-3.85
Tc 0.0000 0.0000 0.0000  6 Cl 2.40-2.41
C 0.5000 0.5000 0.0000  2 Cl 2.14
Cl 0.2209 0.2209 0.4418  1 Tc 2.40
Cl 0.2209 0.7791 0.0000  1 Tc 2.40
Cl 0.2647 0.2647 0.0000  1 C 2.14
Cl 0.7353 0.7353 0.0000  1 C 2.14
Cl 0.7791 0.2209 0.0000  1 Tc 2.40
Cl 0.7791 0.7791 0.5582  1 Tc 2.40

---

A relaxed Rb2TlCCl6 crystal. Source: Alexandria, functional PBE-GGA.

Output
Its formation energy (no corrections) is -0.55 eV per atom. The density of states at the Fermi level comes out at 1.6 states/eV/f.u. The calculation puts the total energy at -0.2211 Ry/atom.

Cell: 7.0280 7.0280 7.0280 Å, 114.74 114.74 99.37°
Closest atoms and distances in Å follow each position.
Atoms (fractional coordinates):
Rb 0.2500 0.7500 0.5000  12 Cl 3.52-3.80
Rb 0.7500 0.2500 0.5000  12 Cl 3.52-3.80
Tl 0.0000 0.0000 0.0000  2 Cl 2.51
C 0.5000 0.5000 0.0000  2 Cl 2.04
Cl 0.2731 0.2731 0.5462  1 C 2.43
Cl 0.2731 0.7269 0.0000  1 C 2.43
Cl 0.2756 0.2756 0.0000  1 C 2.04
Cl 0.7244 0.7244 0.0000  1 C 2.04
Cl 0.7269 0.2731 0.0000  1 C 2.43
Cl 0.7269 0.7269 0.4538  1 C 2.43

---

A relaxed Rb2VCCl6 crystal. Source: Alexandria, functional PBE-GGA.

Output
Its formation energy (no corrections) is -0.69 eV per atom. The density of states at the Fermi level comes out at 12.9 states/eV/f.u. The calculation puts the total energy at -0.2814 Ry/atom.

Cell: 7.0882 7.0882 7.0882 Å, 114.30 114.30 100.20°
Closest atoms and distances in Å follow each position.
Atoms (fractional coordinates):
Rb 0.2500 0.7500 0.5000  12 Cl 3.56-3.85
Rb 0.7500 0.2500 0.5000  12 Cl 3.56-3.85
V 0.0000 0.0000 0.0000  6 Cl 2.36-2.42
C 0.5000 0.5000 0.0000  2 Cl 2.13
Cl 0.2171 0.2171 0.4342  1 V 2.36
Cl 0.2171 0.7829 0.0000  1 V 2.36
Cl 0.2662 0.2662 0.0000  1 C 2.13
Cl 0.7338 0.7338 0.0000  1 C 2.13
Cl 0.7829 0.2171 0.0000  1 V 2.36
Cl 0.7829 0.7829 0.5658  1 V 2.36

---

A relaxed ReC3Cl crystal. Source: Alexandria, functional PBE-GGA.

Output
Its formation energy (no corrections) is 3.42 eV per atom. The density of states at the Fermi level comes out at 4.6 states/eV/f.u. Its energy relative to the lowest polymorph listed for this composition is 1550 meV per atom. The calculation puts the total energy at -0.3659 Ry/atom.

Cell: 3.6399 3.6399 3.6399 Å, 90.00 90.00 90.00°
Closest atoms and distances in Å follow each position.
Atoms (fractional coordinates):
Re 0.0000 0.0000 0.0000  12 C 2.57
C 0.0000 0.5000 0.5000  2 Cl 1.82
C 0.5000 0.0000 0.5000  2 Cl 1.82
C 0.5000 0.5000 0.0000  2 Cl 1.82
Cl 0.5000 0.5000 0.5000  6 C 1.82

---

A relaxed ReCCl2 crystal. Source: Alexandria, functional PBE-GGA.

Output
Its formation energy (no corrections) is 0.64 eV per atom. The density of states at the Fermi level comes out at 1.9 states/eV/f.u. Its energy relative to the lowest polymorph listed for this composition is 0 meV per atom. The calculation puts the total energy at -0.4193 Ry/atom.

Cell: 8.9537 8.9537 3.9026 Å, 90.00 90.00 90.00°
Closest atoms and distances in Å follow each position.
Atoms (fractional coordinates):
Re 0.0000 0.0000 0.0000  2 C 1.95
Re 0.0000 0.5000 0.2500  2 C 1.95
Re 0.5000 0.0000 0.7500  2 C 1.95
Re 0.5000 0.5000 0.5000  2 C 1.95
C 0.0000 0.0000 0.5000  2 Re 1.95
C 0.0000 0.5000 0.7500  2 Re 1.95
C 0.5000 0.0000 0.2500  2 Re 1.95
C 0.5000 0.5000 0.0000  2 Re 1.95
Cl 0.0985 0.7500 0.1250  2 Re 2.45
Cl 0.2500 0.0985 0.8750  2 Re 2.45
Cl 0.2500 0.4015 0.3750  2 Re 2.45
Cl 0.4015 0.7500 0.6250  2 Re 2.45
Cl 0.5985 0.2500 0.6250  2 Re 2.45
Cl 0.7500 0.5985 0.3750  2 Re 2.45
Cl 0.7500 0.9015 0.8750  2 Re 2.45
Cl 0.9015 0.2500 0.1250  2 Re 2.45

---

A relaxed ReCCl2 crystal. Source: Alexandria, functional PBE-GGA.

Output
Its formation energy (no corrections) is 1.78 eV per atom. The density of states at the Fermi level comes out at 2.4 states/eV/f.u. Its energy relative to the lowest polymorph listed for this composition is 1139 meV per atom. The calculation puts the total energy at -0.3355 Ry/atom.

Cell: 2.9389 2.9389 24.8392 Å, 90.00 90.00 120.00°
Closest atoms and distances in Å follow each position.
Atoms (fractional coordinates):
Re 0.0000 0.0000 0.0000  2 Cl 2.27
Re 0.3333 0.6667 0.6667  2 Cl 2.27
Re 0.6667 0.3333 0.3333  2 Cl 2.27
C 0.0000 0.0000 0.5000  6 Cl 2.53
C 0.3333 0.6667 0.1667  6 Cl 2.53
C 0.6667 0.3333 0.8333  6 Cl 2.53
Cl 0.0000 0.0000 0.0913  1 Re 2.27, 3 C 2.53
Cl 0.0000 0.0000 0.9087  1 Re 2.27, 3 C 2.53
Cl 0.3333 0.6667 0.5754  1 Re 2.27, 3 C 2.53
Cl 0.3333 0.6667 0.7579  1 Re 2.27, 3 C 2.53
Cl 0.6667 0.3333 0.2421  1 Re 2.27, 3 C 2.53
Cl 0.6667 0.3333 0.4246  1 Re 2.27, 3 C 2.53

---

A relaxed ReCCl2 crystal. Source: Alexandria, functional PBE-GGA.

Output
Its formation energy (no corrections) is 2.12 eV per atom. The density of states at the Fermi level comes out at 1.9 states/eV/f.u. Its energy relative to the lowest polymorph listed for this composition is 1486 meV per atom. The calculation puts the total energy at -0.3101 Ry/atom.

Cell: 6.0007 6.0007 6.0007 Å, 90.00 90.00 90.00°
Closest atoms and distances in Å follow each position.
Atoms (fractional coordinates):
Re 0.0000 0.0000 0.0000  8 Cl 2.60
Re 0.0000 0.5000 0.5000  8 Cl 2.60
Re 0.5000 0.0000 0.5000  8 Cl 2.60
Re 0.5000 0.5000 0.0000  8 Cl 2.60
C 0.0000 0.0000 0.5000  8 Cl 2.60
C 0.0000 0.5000 0.0000  8 Cl 2.60
C 0.5000 0.0000 0.0000  8 Cl 2.60
C 0.5000 0.5000 0.5000  8 Cl 2.60
Cl 0.2500 0.2500 0.2500  4 Re 2.60, 4 C 2.60
Cl 0.2500 0.2500 0.7500  4 Re 2.60, 4 C 2.60
Cl 0.2500 0.7500 0.2500  4 Re 2.60, 4 C 2.60
Cl 0.2500 0.7500 0.7500  4 Re 2.60, 4 C 2.60
Cl 0.7500 0.2500 0.2500  4 Re 2.60, 4 C 2.60
Cl 0.7500 0.2500 0.7500  4 Re 2.60, 4 C 2.60
Cl 0.7500 0.7500 0.2500  4 Re 2.60, 4 C 2.60
Cl 0.7500 0.7500 0.7500  4 Re 2.60, 4 C 2.60

---

A relaxed ReC3Cl crystal. Source: Alexandria, functional PBE-GGA.

Output
Its formation energy (no corrections) is 1.86 eV per atom. The density of states at the Fermi level comes out at 0.1 states/eV/f.u. Its energy relative to the lowest polymorph listed for this composition is 0 meV per atom. The calculation puts the total energy at -0.4798 Ry/atom.

Cell: 4.1019 4.1019 4.1019 Å, 90.00 90.00 90.00°
Closest atoms and distances in Å follow each position.
Atoms (fractional coordinates):
Re 0.0000 0.0000 0.0000  6 C 2.05
C 0.0000 0.0000 0.5000  2 Re 2.05
C 0.0000 0.5000 0.0000  2 Re 2.05
C 0.5000 0.0000 0.0000  2 Re 2.05
Cl 0.5000 0.5000 0.5000  12 C 2.90

---

A relaxed ReCSCl2 crystal. Source: Alexandria, functional PBE-GGA.

Output
Its formation energy (no corrections) is 1.94 eV per atom. The density of states at the Fermi level comes out at 3.5 states/eV/f.u. Its energy relative to the lowest polymorph listed for this composition is 460 meV per atom. The calculation puts the total energy at -0.2912 Ry/atom.

Cell: 4.0967 4.0967 4.1328 Å, 90.00 90.00 90.00°
Closest atoms and distances in Å follow each position.
Atoms (fractional coordinates):
Re 0.0000 0.0000 0.0000  4 S 2.90, 8 Cl 2.91
C 0.5000 0.5000 0.5000  4 Cl 2.05, 2 S 2.07
S 0.5000 0.5000 0.0000  2 C 2.07
Cl 0.0000 0.5000 0.5000  2 C 2.05
Cl 0.5000 0.0000 0.5000  2 C 2.05

---

A relaxed ReCSCl2 crystal. Source: Alexandria, functional PBE-GGA.

Output
Its formation energy (no corrections) is 1.48 eV per atom. The density of states at the Fermi level comes out at 4.8 states/eV/f.u. Its energy relative to the lowest polymorph listed for this composition is 0 meV per atom. The calculation puts the total energy at -0.3250 Ry/atom.

Cell: 4.8412 4.8412 4.5159 Å, 90.00 90.00 90.00°
Closest atoms and distances in Å follow each position.
Atoms (fractional coordinates):
Re 0.0000 0.0000 0.0000  2 S 2.26, 4 Cl 2.42
C 0.5000 0.5000 0.5000  8 Cl 3.31, 4 S 3.42
S 0.0000 0.0000 0.5000  2 Re 2.26
Cl 0.0000 0.5000 0.0000  2 Re 2.42
Cl 0.5000 0.0000 0.0000  2 Re 2.42